[1]
## BaThInAs3 (GGA-PBE)

Data for a relaxed BaThInAs3 crystal.

- calculated volume (Å³ per atom) = 31.60
- ΔH_f (0 K) (kJ/mol of formula units) = -520
- M_tot (μB/atom) = 0.000

```
data_BaThInAs3
_symmetry_space_group_name_H-M 'P 1 21/m 1'
_symmetry_Int_Tables_number 11
_cell_length_a 8.9006
_cell_length_b 4.3723
_cell_length_c 10.0647
_cell_angle_alpha 90.00
_cell_angle_beta 104.49
_cell_angle_gamma 90.00
loop_
_symmetry_equiv_pos_as_xyz
'x,y,z'
'-x,-y,-z'
'-x,y+1/2,-z'
'x,-y+1/2,z'
loop_
_atom_site_label
_atom_site_fract_x
_atom_site_fract_y
_atom_site_fract_z
Ba1 0.2117 0.2500 0.2361
Th1 0.3238 0.7500 0.8634
In1 0.0911 0.2500 0.6111
As1 0.0895 0.2500 0.8728
As2 0.2303 0.7500 0.5295
As3 0.4607 0.7500 0.1600
```

---

[2]
## Pm2Sb2Rh (GGA-PBE)

Data for a relaxed Pm2Sb2Rh crystal.

- VASP energy (eV per atom) = -5.97
- calculated volume (Å³ per atom) = 27.71
- M_tot (μB/atom) = 0.000
- D(E_F) (states/eV/atom) = 1.066

```
data_Pm2Sb2Rh
_symmetry_space_group_name_H-M 'I b a m'
_symmetry_Int_Tables_number 72
_symmetry_space_group_name_Hall '-I 2 2c'
_cell_length_a 6.5719
_cell_length_b 13.3234
_cell_length_c 6.3295
_cell_angle_alpha 90.00
_cell_angle_beta 90.00
_cell_angle_gamma 90.00
loop_
_atom_site_label
_atom_site_fract_x
_atom_site_fract_y
_atom_site_fract_z
Pm1 0.2286 0.1370 0.0000
Sb1 0.2430 0.3803 0.0000
Rh1 0.0000 0.5000 0.2500
```